ZrGa3Au | Alexandria via LeMat-Bulk | SCAN | single point on PBEsol structure; energy relative to the elements = 0.862 eV per atom; V = 131.7 Å³/f.u.; SG = No. 221
1.0
5.0880 0.0000 0.0000
0.0000 5.0880 0.0000
0.0000 0.0000 5.0880
Zr Ga Au
1 3 1
Cartesian
0.0000 0.0000 0.0000 Zr
0.0000 0.0000 2.5440 Ga
0.0000 2.5440 0.0000 Ga
2.5440 0.0000 0.0000 Ga
2.5440 2.5440 2.5440 Au

=====

In2HgSb | Alexandria via LeMat-Bulk | SCAN | single point on PBEsol structure; energy above the most stable polymorph in this dataset = 61.8 meV per atom; V = 101.2 Å³/f.u.; SG = No. 119; formation energy without anion corrections = 0.09 eV/atom
1.0
-2.4341 2.4341 4.2710
2.4341 -2.4341 4.2710
2.4341 2.4341 -4.2710
In Hg Sb
2 1 1
Cartesian
0.0000 0.0000 0.0000 In
0.0000 2.4341 2.1355 In
2.4341 0.0000 2.1355 Hg
0.0000 0.0000 4.2710 Sb

=====

TlCo2Ru | Alexandria via LeMat-Bulk | SCAN | single point on PBEsol structure; energy relative to the elements = 0.698 eV per atom; energy above the most stable polymorph in this dataset = 234.2 meV per atom; V = 56.4 Å³/f.u.; SG = No. 166
1.0
1.3933 0.8044 8.3840
-1.3933 0.8044 8.3840
0.0000 -1.6089 8.3840
Tl Co Ru
1 2 1
Cartesian
0.0000 0.0000 0.0000 Tl
0.0000 0.0000 6.1228 Co
0.0000 0.0000 19.0291 Co
0.0000 0.0000 12.5759 Ru

=====

no.,VASP energy (eV per atom)
1,-28.917
2,-42.956
3,-34.751